A relaxed BeFeO2 crystal, computed with GGA+U.

The structure belongs to space group Cm (No. 8); the cell edges are 5.7576, 2.8221 and 4.8850 Å and the angles 90.00°, 94.38° and 90.00°. The inequivalent atoms are Be at (0.0000, 0.0000, 0.0000), Fe at (0.2301, 0.5000, 0.5206), O at (0.0172, 0.0000, 0.3122) and O at (0.4889, 0.0000, 0.8364).

The total energy comes out at -6.71 eV per atom. Its density is 4.06 g/cm³. For the total magnetization, the calculation gives 4.0 μB per formula unit.